(1)
A plane-wave DFT calculation with PBE-GGA was carried out for an optimized crystal structure of Nd3Si3Ir2.

- Energy: -6.91 eV per atom
- V: 171.18 Å³/f.u.
- Space group: Cmcm, No. 63

abc: 5.9423 5.9423 14.4489
angles: 90.00 90.00 137.85
Last column: nearest neighbours and their distance in Å.
Fractional positions:
Nd  0.0751  0.9249  0.6093  7 Si 3.11-3.44, 4 Ir 3.16-3.39
Nd  0.0751  0.9249  0.8907  7 Si 3.11-3.44, 4 Ir 3.16-3.39
Nd  0.3572  0.6428  0.7500  4 Si 3.02-3.09, 4 Ir 3.12
Nd  0.6428  0.3572  0.2500  4 Si 3.02-3.09, 4 Ir 3.12
Nd  0.9249  0.0751  0.1093  7 Si 3.11-3.44, 4 Ir 3.16-3.39
Nd  0.9249  0.0751  0.3907  7 Si 3.11-3.44, 4 Ir 3.16-3.39
Si  0.3352  0.6648  0.2500  2 Ir 2.56
Si  0.3517  0.6483  0.5361  3 Ir 2.43-2.53
Si  0.3517  0.6483  0.9639  3 Ir 2.43-2.53
Si  0.6483  0.3517  0.0361  3 Ir 2.43-2.53
Si  0.6483  0.3517  0.4639  3 Ir 2.43-2.53
Si  0.6648  0.3352  0.7500  2 Ir 2.56
Ir  0.2097  0.7903  0.1013  4 Si 2.43-2.56
Ir  0.2097  0.7903  0.3987  4 Si 2.43-2.56
Ir  0.7903  0.2097  0.6013  4 Si 2.43-2.56
Ir  0.7903  0.2097  0.8987  4 Si 2.43-2.56


(2)
A plane-wave DFT calculation with PBE-GGA was carried out for an optimized crystal structure of SrBeAs.

- V: 83.63 Å³/f.u.
- Space group: F-43m, No. 216
- Offset from the most stable computed form: 1089.8 meV per atom

abc: 6.9419 6.9419 6.9419
angles: 90.00 90.00 90.00
Last column: nearest neighbours and their distance in Å.
Fractional positions:
Sr  0.0000  0.0000  0.0000  4 Be 3.01, 4 As 3.01
Sr  0.0000  0.5000  0.5000  4 Be 3.01, 4 As 3.01
Sr  0.5000  0.0000  0.5000  4 Be 3.01, 4 As 3.01
Sr  0.5000  0.5000  0.0000  4 Be 3.01, 4 As 3.01
Be  0.2500  0.2500  0.2500  4 Sr 3.01
Be  0.2500  0.7500  0.7500  4 Sr 3.01
Be  0.7500  0.2500  0.7500  4 Sr 3.01
Be  0.7500  0.7500  0.2500  4 Sr 3.01
As  0.2500  0.2500  0.7500  4 Sr 3.01
As  0.2500  0.7500  0.2500  4 Sr 3.01
As  0.7500  0.2500  0.2500  4 Sr 3.01
As  0.7500  0.7500  0.7500  4 Sr 3.01